The following is a PBE calculation of crystalline KNaBi2O6 at its relaxed geometry, from Alexandria via LeMat-Bulk.

Cell lengths 5.8901, 5.8901, 4.2986 Å; angles 90.00, 90.00, 90.35 degrees
Atoms (fractional coordinates):
K  0.0000  0.0000  0.0000
Na  0.5000  0.5000  0.0000
Bi  0.0000  0.5000  0.5000
Bi  0.5000  0.0000  0.5000
O  0.0000  0.5000  0.0000
O  0.1894  0.8106  0.5000
O  0.3188  0.3188  0.5000
O  0.5000  0.0000  0.0000
O  0.6812  0.6812  0.5000
O  0.8106  0.1894  0.5000

Calculated values
For the density of states at the Fermi level, the calculation gives 0.352 states/eV/atom. As for the energy above the most stable polymorph in this dataset: 26.4 meV per atom. As for the symmetry: Cmmm. As for the formation energy (no corrections): -1.053 eV per atom.

---

The following is a PBE calculation of crystalline Ho3Mg2In at its relaxed geometry, from Alexandria via LeMat-Bulk.

Cell lengths 8.4123, 8.4123, 3.7738 Å; angles 90.00, 90.00, 143.34 degrees
Atoms (fractional coordinates):
Ho  0.0000  0.0000  0.0000
Ho  0.3335  0.6665  0.0000
Ho  0.6665  0.3335  0.0000
Mg  0.1703  0.8297  0.5000
Mg  0.8297  0.1703  0.5000
In  0.5000  0.5000  0.5000

Calculated values
For the density of states at the Fermi level, the calculation gives 0.972 states/eV/atom. As for the energy above the most stable polymorph in this dataset: 0.0 meV per atom. Its formation energy is -5.3 kcal/mol of atoms. As for the symmetry: Cmmm.

---

The following is a PBE calculation of crystalline DyThH4 at its relaxed geometry, from Alexandria via LeMat-Bulk.

Cell lengths 3.6962, 3.6962, 5.5140 Å; angles 90.00, 90.00, 90.00 degrees
Atoms (fractional coordinates):
Dy  0.0000  0.0000  0.0000
Th  0.5000  0.5000  0.5000
H  0.0000  0.5000  0.2353
H  0.0000  0.5000  0.7647
H  0.5000  0.0000  0.2353
H  0.5000  0.0000  0.7647

Calculated values
For the density of states at the Fermi level, the calculation gives 0.337 states/eV/atom. The value obtained for the total energy is -4.85 eV per atom. As for the symmetry: P4/mmm.

---

The following is a PBE calculation of crystalline CaCdAg6 at its relaxed geometry, from Alexandria via LeMat-Bulk.

Cell lengths 4.9334, 6.1218, 5.2056 Å; angles 90.00, 90.00, 90.00 degrees
Atoms (fractional coordinates):
Ca  0.0000  0.0000  0.0000
Cd  0.5000  0.5000  0.3221
Ag  0.0000  0.2633  0.4976
Ag  0.0000  0.5000  0.9920
Ag  0.0000  0.7367  0.4976
Ag  0.5000  0.0000  0.3709
Ag  0.5000  0.2627  0.8285
Ag  0.5000  0.7373  0.8285

Calculated values
For the density of states at the Fermi level, the calculation gives 0.337 states/eV/atom. As for the energy above the most stable polymorph in this dataset: 0.0 meV per atom. Its formation energy is -2.4 kcal/mol of atoms. As for the symmetry: Pmm2.

---

Record order is preserved below.
Total magnetic moment: 0.00; 0.00; 0.00; 0.00 μB/atom
Record order is preserved below.
V: 149.1; 159.4; 75.3; 157.2 Å³ per cell